Li2ZrBr: relaxed, PBE-GGA.

Volume: 20.686 A^3/atom
E: -3.45 eV per atom

Cell: 6.1575 6.1575 6.1575 Å, 143.33 143.33 52.82°
Closest atoms and distances in Å follow each position.
Atoms (fractional coordinates):
Li 0.2500 0.7500 0.5000  4 Li 2.74
Li 0.7500 0.2500 0.5000  4 Li 2.74
Zr 0.0000 0.0000 0.0000  4 Br 2.74
Br 0.5000 0.5000 0.0000  4 Zr 2.74